The following is a PBE calculation of a relaxed HfIrPb2 crystal, from Alexandria.

a = 8.065 Å, b = 8.065 Å, c = 6.402 Å
α = 50.96°, β = 50.96°, γ = 90.00°
Fractional coordinates of all 8 atoms:
Pb  0.663  0.125  0.250
Pb  0.875  0.913  0.750
Pb  0.087  0.625  0.250
Pb  0.375  0.337  0.750
Hf  0.500  0.500  0.000
Hf  0.250  0.750  0.500
Ir  0.750  0.250  0.500
Ir  0.000  0.000  0.000

For the total energy, the calculation gives -6.216 eV per atom. Its crystal system is tetragonal. For the size of the total moment, the calculation gives 0.000 Bohr magnetons per cell. The energy of formation comes out at 0.34 eV/atom.